# HoBiO3, single point on PBEsol structure, DFT meta-GGA SCAN
# Magnetization, μB per atom: 0.000
# Calculated volume, A^3/atom: 15.0
# Formation energy without anion corrections, meV/atom: -2489
data_HoBiO3
_symmetry_space_group_name_H-M 'R -3'
_symmetry_Int_Tables_number 148
_symmetry_space_group_name_Hall '-R 3'
_cell_length_a 5.9470
_cell_length_b 5.9470
_cell_length_c 14.7230
_cell_angle_alpha 90.00
_cell_angle_beta 90.00
_cell_angle_gamma 120.00
loop_
_atom_site_label
_atom_site_type_symbol
_atom_site_fract_x
_atom_site_fract_y
_atom_site_fract_z
_atom_site_occupancy
Ho1 Ho 0.0000 0.0000 0.1408 1
Bi1 Bi 0.0000 0.0000 0.3600 1
O1 O 0.0363 0.7437 0.7484 1

***

# HoZnBi2O6, single point on PBEsol structure, DFT meta-GGA SCAN
# Magnetization, μB per atom: 0.000
# Calculated volume, A^3/atom: 14.8
# Formation energy without anion corrections, meV/atom: -1775
data_HoZnBi2O6
_symmetry_space_group_name_H-M 'P m n 21'
_symmetry_Int_Tables_number 31
_cell_length_a 8.466
_cell_length_b 6.349
_cell_length_c 5.509
_cell_angle_alpha 90.00
_cell_angle_beta 90.00
_cell_angle_gamma 90.00
loop_
_symmetry_equiv_pos_as_xyz
'x,y,z'
'-x+1/2,-y,z+1/2'
'-x,y,z'
'x+1/2,-y,z+1/2'
loop_
_atom_site_label
_atom_site_type_symbol
_atom_site_fract_x
_atom_site_fract_y
_atom_site_fract_z
_atom_site_occupancy
Ho1 Ho 0.000 0.164 0.000 1
Zn1 Zn 0.000 0.913 0.510 1
Bi1 Bi 0.242 0.718 0.033 1
O1 O 0.000 0.244 0.392 1
O2 O 0.000 0.822 0.182 1
O3 O 0.169 0.973 0.742 1
O4 O 0.180 0.398 0.895 1

***

# Ho5BiPd2, single point on PBEsol structure, DFT meta-GGA SCAN
# Magnetization, μB per atom: 0.000
# Calculated volume, A^3/atom: 24.7
# ΔH_f (0 K), meV/atom: -812
data_Ho5BiPd2
_symmetry_space_group_name_H-M 'I 4/m c m'
_symmetry_Int_Tables_number 140
_symmetry_space_group_name_Hall '-I 4 2c'
_cell_length_a 7.680
_cell_length_b 7.680
_cell_length_c 13.415
_cell_angle_alpha 90.00
_cell_angle_beta 90.00
_cell_angle_gamma 90.00
loop_
_atom_site_label
_atom_site_type_symbol
_atom_site_fract_x
_atom_site_fract_y
_atom_site_fract_z
_atom_site_occupancy
Ho1 Ho 0.000 0.000 0.000 1
Ho2 Ho 0.155 0.345 0.140 1
Bi1 Bi 0.000 0.000 0.250 1
Pd1 Pd 0.136 0.364 0.500 1

***

# Ho5BiPt2, single point on PBEsol structure, DFT meta-GGA SCAN
# Magnetization, μB per atom: 0.000
# Calculated volume, A^3/atom: 24.8
# ΔH_f (0 K), meV/atom: -1129
data_Ho5BiPt2
_symmetry_space_group_name_H-M 'I 4/m c m'
_symmetry_Int_Tables_number 140
_symmetry_space_group_name_Hall '-I 4 2c'
_cell_length_a 7.685
_cell_length_b 7.685
_cell_length_c 13.432
_cell_angle_alpha 90.00
_cell_angle_beta 90.00
_cell_angle_gamma 90.00
loop_
_atom_site_label
_atom_site_type_symbol
_atom_site_fract_x
_atom_site_fract_y
_atom_site_fract_z
_atom_site_occupancy
Ho1 Ho 0.000 0.000 0.000 1
Ho2 Ho 0.156 0.344 0.136 1
Bi1 Bi 0.000 0.000 0.250 1
Pt1 Pt 0.138 0.362 0.500 1

***

# Ho6Bi2Rh, single point on PBEsol structure, DFT meta-GGA SCAN
# Magnetization, μB per atom: 0.000
# Calculated volume, A^3/atom: 26.5
# ΔH_f (0 K), meV/atom: -734
data_Ho6Bi2Rh
_symmetry_space_group_name_H-M 'P -6 2 m'
_symmetry_Int_Tables_number 189
_symmetry_space_group_name_Hall 'P -6 -2'
_cell_length_a 8.2554
_cell_length_b 8.2554
_cell_length_c 4.0384
_cell_angle_alpha 90.00
_cell_angle_beta 90.00
_cell_angle_gamma 120.00
loop_
_atom_site_label
_atom_site_type_symbol
_atom_site_fract_x
_atom_site_fract_y
_atom_site_fract_z
_atom_site_occupancy
Ho1 Ho 0.0000 0.3942 0.0000 1
Ho2 Ho 0.0000 0.7630 0.5000 1
Bi1 Bi 0.3333 0.6667 0.5000 1
Rh1 Rh 0.0000 0.0000 0.0000 1

***

# HoBiRh, single point on PBEsol structure, DFT meta-GGA SCAN
# Magnetization, μB per atom: 0.000
# Calculated volume, A^3/atom: 21.4
# ΔH_f (0 K), meV/atom: -883
data_HoBiRh
_symmetry_space_group_name_H-M 'P -6 2 m'
_symmetry_Int_Tables_number 189
_symmetry_space_group_name_Hall 'P -6 -2'
_cell_length_a 7.5340
_cell_length_b 7.5340
_cell_length_c 3.9131
_cell_angle_alpha 90.00
_cell_angle_beta 90.00
_cell_angle_gamma 120.00
loop_
_atom_site_label
_atom_site_type_symbol
_atom_site_fract_x
_atom_site_fract_y
_atom_site_fract_z
_atom_site_occupancy
Ho1 Ho 0.0000 0.4000 0.0000 1
Bi1 Bi 0.0000 0.7340 0.5000 1
Rh1 Rh 0.0000 0.0000 0.0000 1
Rh2 Rh 0.3333 0.6667 0.5000 1